(1)
## Al4Sb2Ru (PBE-GGA)

Data for a geometry-optimized Al4Sb2Ru structure.

Unit cell a=4.6609 b=4.6609 c=9.6135 alpha=75.97 beta=75.97 gamma=90.00
Last column: nearest neighbours and their distance in Å.
Sites, in units of the cell vectors:
Sb 0.7267 0.7267 0.5467  1 Al 2.62
Sb 0.2733 0.2733 0.4533  1 Al 2.62
Al 0.8719 0.8719 0.2561  1 Ru 2.31
Al 0.1281 0.1281 0.7439  1 Ru 2.31
Al 0.0000 0.5000 0.0000  2 Ru 2.33
Al 0.5000 0.0000 0.0000  2 Ru 2.33
Ru 0.0000 0.0000 0.0000  6 Al 2.31-2.33

Calculated values
Raw formation energy = 76 meV per atom

(2)
## LiPu2UAs4 (PBE-GGA)

Data for a geometry-optimized LiPu2UAs4 structure.

Unit cell a=4.1183 b=7.0418 c=7.0379 alpha=109.09 beta=90.00 gamma=90.00
Last column: nearest neighbours and their distance in Å.
Sites, in units of the cell vectors:
Li 0.5000 0.5000 0.0000  6 As 2.83-2.92
Pu 0.5000 0.0000 0.5000  6 As 2.88-2.90
Pu 0.0000 0.5000 0.5000  6 As 2.93
U 0.0000 0.0000 0.0000  6 As 2.80-2.87
As 0.5000 0.2470 0.2412  1 Li 2.83, 2 U 2.87, 3 Pu 2.90-2.93
As 0.5000 0.7530 0.7588  1 Li 2.83, 2 U 2.87, 3 Pu 2.90-2.93
As 0.0000 0.2416 0.7527  1 U 2.80, 3 Pu 2.88-2.93, 2 Li 2.92
As 0.0000 0.7584 0.2473  1 U 2.80, 3 Pu 2.88-2.93, 2 Li 2.92

Calculated values
Calculated formation energy = -0.72 eV per atom

(3)
## Dy3Pt (PBE-GGA)

Data for a geometry-optimized Dy3Pt structure.

Unit cell a=6.4885 b=7.0375 c=9.5963 alpha=90.00 beta=90.00 gamma=90.00
Last column: nearest neighbours and their distance in Å.
Sites, in units of the cell vectors:
Dy 0.3219 0.6806 0.0609  2 Pt 2.86-2.92
Dy 0.1781 0.1806 0.4391  2 Pt 2.86-2.92
Dy 0.6781 0.3194 0.5609  2 Pt 2.86-2.92
Dy 0.8219 0.8194 0.9391  2 Pt 2.86-2.92
Dy 0.6781 0.3194 0.9391  2 Pt 2.86-2.92
Dy 0.8219 0.8194 0.5609  2 Pt 2.86-2.92
Dy 0.3219 0.6806 0.4391  2 Pt 2.86-2.92
Dy 0.1781 0.1806 0.0609  2 Pt 2.86-2.92
Dy 0.8681 0.5262 0.2500  2 Pt 2.81-2.89
Dy 0.6319 0.0262 0.2500  2 Pt 2.81-2.89
Dy 0.1319 0.4738 0.7500  2 Pt 2.81-2.89
Dy 0.3681 0.9738 0.7500  2 Pt 2.81-2.89
Pt 0.0516 0.8882 0.2500  6 Dy 2.81-2.92
Pt 0.4484 0.3882 0.2500  6 Dy 2.81-2.92
Pt 0.9484 0.1118 0.7500  6 Dy 2.81-2.92
Pt 0.5516 0.6118 0.7500  6 Dy 2.81-2.92

Calculated values
Calculated formation energy = -0.72 eV per atom

Number 1: N(E_F) 1.99 states/eV/cell, M_tot 0.00 μB per formula unit. Number 2: N(E_F) 31.31 states/eV/cell, M_tot 1.20 μB per formula unit. Number 3: N(E_F) 16.83 states/eV/cell, M_tot 0.00 μB per formula unit.